## Sr3MoO6 (PBE with a Hubbard U)

Data for a geometry-optimized Sr3MoO6 structure. Values from VASP.

Geometry as Quantum ESPRESSO input:
```
&SYSTEM
  ibrav = 0, nat = 20, ntyp = 3
/
ATOMIC_SPECIES
O 16.00 O.upf
Sr 87.62 Sr.upf
Mo 95.94 Mo.upf
CELL_PARAMETERS angstrom
6.9070 -0.0329 -0.1821
-0.1861 6.9045 -0.1821
-0.0322 -0.0329 6.9093
ATOMIC_POSITIONS crystal
O 0.5734 0.7712 0.4534
O 0.2288 0.5466 0.4266
O 0.5466 0.4266 0.2288
O 0.7712 0.4534 0.5734
O 0.9339 0.7285 0.0576
O 0.7285 0.0576 0.9339
O 0.4534 0.5734 0.7712
O 0.0576 0.9339 0.7285
O 0.9424 0.0661 0.2715
O 0.4266 0.2288 0.5466
O 0.0661 0.2715 0.9424
O 0.2715 0.9424 0.0661
Sr 0.9339 0.7460 0.4367
Sr 0.0661 0.2540 0.5633
Sr 0.5633 0.0661 0.2540
Sr 0.7460 0.4367 0.9339
Sr 0.2540 0.5633 0.0661
Sr 0.4367 0.9339 0.7460
Mo 0.5000 0.5000 0.5000
Mo 0.0000 0.0000 0.0000
```

Results
**Symmetry**: R-3, No. 148
**E**: -133.80 eV/cell
**DOS(E_F)**: 0.000 states/eV/f.u.